No. 1
Below is crystalline YLu2Ag at its relaxed geometry, with properties calculated at the PBE-GGA level.

Properties
**Electronic total energy**: -4.5379 eV per atom

Cell: 7.4624 7.4624 7.4624 Å, 90.00 90.00 90.00°
Fractional coordinates of all 16 atoms:
Y 0.0000 0.0000 0.0000
Y 0.0000 0.5000 0.5000
Y 0.5000 0.0000 0.5000
Y 0.5000 0.5000 0.0000
Lu 0.0000 0.0000 0.5000
Lu 0.0000 0.5000 0.0000
Lu 0.2500 0.2500 0.7500
Lu 0.2500 0.7500 0.2500
Lu 0.5000 0.0000 0.0000
Lu 0.5000 0.5000 0.5000
Lu 0.7500 0.2500 0.2500
Lu 0.7500 0.7500 0.7500
Ag 0.2500 0.2500 0.2500
Ag 0.2500 0.7500 0.7500
Ag 0.7500 0.2500 0.7500
Ag 0.7500 0.7500 0.2500


No. 2
Below is crystalline ErPuBe at its relaxed geometry, with properties calculated at the PBE-GGA level.

Properties
**Relative energy among the computed polymorphs**: 0.0 kJ/mol of atoms

Cell: 6.6277 6.6277 6.6277 Å, 90.00 90.00 90.00°
Fractional coordinates of all 12 atoms:
Er 0.0000 0.0000 0.0000
Er 0.0000 0.5000 0.5000
Er 0.5000 0.0000 0.5000
Er 0.5000 0.5000 0.0000
Pu 0.0000 0.0000 0.5000
Pu 0.0000 0.5000 0.0000
Pu 0.5000 0.0000 0.0000
Pu 0.5000 0.5000 0.5000
Be 0.2500 0.2500 0.2500
Be 0.2500 0.7500 0.7500
Be 0.7500 0.2500 0.7500
Be 0.7500 0.7500 0.2500


No. 3
Below is crystalline UNbZn at its relaxed geometry, with properties calculated at the PBE-GGA level.

Properties
**Relative energy among the computed polymorphs**: 0.0 kJ/mol of atoms

Cell: 6.3505 6.3505 6.3505 Å, 90.00 90.00 90.00°
Fractional coordinates of all 12 atoms:
U 0.0000 0.0000 0.0000
U 0.0000 0.5000 0.5000
U 0.5000 0.0000 0.5000
U 0.5000 0.5000 0.0000
Nb 0.2500 0.2500 0.2500
Nb 0.2500 0.7500 0.7500
Nb 0.7500 0.2500 0.7500
Nb 0.7500 0.7500 0.2500
Zn 0.0000 0.0000 0.5000
Zn 0.0000 0.5000 0.0000
Zn 0.5000 0.0000 0.0000
Zn 0.5000 0.5000 0.5000


no.,spin magnetization (μB per formula unit)
1,0.0
2,6.1
3,0.6